[1]
VASP calculation (PBE) on a relaxed DyReAgO6 crystal.

Unit cell a=5.924 b=9.142 c=4.908 alpha=90.00 beta=102.61 gamma=90.00
Space group C2 (No. 5)
Inequivalent atoms, fractional coordinates:
Dy1 0.000 0.000 0.000 x2
Re1 0.000 0.345 0.000 x2
Ag1 0.000 0.673 0.500 x2
O1 0.081 0.204 0.776 x4
O2 0.123 0.499 0.795 x4
O3 0.190 0.852 0.764 x4

Summary:
Total energy = -7.1973 eV/atom
Formation energy (no corrections) = -1.6806 eV/atom

[2]
VASP calculation (PBE) on a relaxed Hf2Zn17 crystal.

Unit cell a=8.8076 b=8.8076 c=12.9066 alpha=90.00 beta=90.00 gamma=120.00
Space group R-3m (No. 166, hexagonal axes)
Inequivalent atoms, fractional coordinates:
Hf1 0.0000 0.0000 0.1656 x6
Zn1 0.0000 0.0000 0.3985 x6
Zn2 0.0000 0.3043 0.5000 x18
Zn3 0.0000 0.5000 0.0000 x9
Zn4 0.0136 0.5068 0.6500 x18

Summary:
Formation energy = -0.0721 eV/atom
Total energy = -2.2597 eV/atom

[3]
VASP calculation (PBE) on a relaxed SrMgCuP2O8 crystal.

Unit cell a=6.352 b=7.375 c=8.492 alpha=96.20 beta=98.21 gamma=100.96
Space group P-1 (No. 2)
Inequivalent atoms, fractional coordinates:
Sr1 0.224 0.220 0.108 x2
Mg1 0.310 0.181 0.596 x2
Cu1 0.182 0.587 0.455 x2
P1 0.186 0.865 0.282 x2
P2 0.223 0.731 0.715 x2
O1 0.000 0.243 0.632 x2
O2 0.008 0.366 0.268 x2
O3 0.092 0.874 0.107 x2
O4 0.256 0.939 0.708 x2
O5 0.267 0.066 0.369 x2
O6 0.372 0.755 0.295 x2
O7 0.390 0.443 0.491 x2
O8 0.395 0.663 0.822 x2

Summary:
Energy above the lowest structure with this stoichiometry = 3.167 eV per formula unit
Total energy = -6.5274 eV/atom
Formation energy (no corrections) = -2.0768 eV/atom

[4]
VASP calculation (PBE) on a relaxed CaEr2MgPd4 crystal.

Unit cell a=4.8400 b=4.8400 c=23.8144 alpha=90.00 beta=90.00 gamma=120.00
Space group R-3m (No. 166, hexagonal axes)
Inequivalent atoms, fractional coordinates:
Ca1 0.0000 0.0000 0.0000 x3
Er1 0.0000 0.0000 0.2464 x6
Mg1 0.0000 0.0000 0.5000 x3
Pd1 0.0000 0.0000 0.1272 x6
Pd2 0.0000 0.0000 0.3807 x6

Summary:
Formation energy = -0.8007 eV/atom
Total energy = -4.9873 eV/atom

[5]
VASP calculation (PBE) on a relaxed Ca2FeBr crystal.

Unit cell a=3.8198 b=3.8198 c=25.4502 alpha=90.00 beta=90.00 gamma=120.00
Space group R-3m (No. 166, hexagonal axes)
Inequivalent atoms, fractional coordinates:
Ca1 0.0000 0.0000 0.2443 x6
Fe1 0.0000 0.0000 0.5000 x3
Br1 0.0000 0.0000 0.0000 x3

Summary:
Energy above the lowest structure with this stoichiometry = 0.131 eV per formula unit
Total energy = -3.8283 eV/atom
Formation energy (no corrections) = -0.2936 eV/atom

[6]
VASP calculation (PBE) on a relaxed TlTc2Sb crystal.

Unit cell a=6.584 b=6.584 c=6.584 alpha=90.00 beta=90.00 gamma=90.00
Space group Fm-3m (No. 225)
Inequivalent atoms, fractional coordinates:
Tl1 0.000 0.000 0.000 x4
Tc1 0.250 0.250 0.250 x8
Sb1 0.000 0.000 0.500 x4

Summary:
Energy above the lowest structure with this stoichiometry = 1.209 eV per formula unit
Total energy = -6.2777 eV/atom
Formation energy (no corrections) = 0.5274 eV/atom

[7]
VASP calculation (PBE) on a relaxed Sn5Pd12Au2 crystal.

Unit cell a=15.140 b=5.544 c=8.956 alpha=90.00 beta=105.65 gamma=90.00
Space group C2/m (No. 12)
Inequivalent atoms, fractional coordinates:
Sn1 0.000 0.000 0.000 x2
Sn2 0.142 0.500 0.361 x4
Sn3 0.186 0.500 0.858 x4
Pd1 0.012 0.500 0.853 x4
Pd2 0.100 0.000 0.797 x4
Pd3 0.156 0.252 0.103 x8
Pd4 0.196 0.241 0.614 x8
Au1 0.000 0.247 0.500 x4

Summary:
Formation energy = -0.3022 eV/atom
Total energy = -4.9802 eV/atom

[8]
VASP calculation (PBE) on a relaxed Ac6CuIr2Pt crystal.

Unit cell a=7.622 b=7.626 c=8.262 alpha=62.53 beta=62.53 gamma=60.04
Space group P1 (No. 1)
Inequivalent atoms, fractional coordinates:
Ac1 0.000 0.000 0.000 x1
Ac2 0.131 0.865 0.495 x1
Ac3 0.284 0.374 0.000 x1
Ac4 0.490 0.167 0.495 x1
Ac5 0.626 0.657 0.000 x1
Ac6 0.792 0.506 0.495 x1
Cu1 0.710 0.084 0.780 x1
Ir1 0.393 0.768 0.729 x1
Ir2 0.891 0.264 0.238 x1
Pt1 0.211 0.585 0.277 x1

Summary:
Formation energy = -0.5677 eV/atom
Total energy = -5.8187 eV/atom

[9]
VASP calculation (PBE) on a relaxed SmTl2P2Pd7 crystal.

Unit cell a=5.803 b=5.801 c=13.840 alpha=90.00 beta=97.69 gamma=90.00
Space group C2/m (No. 12)
Inequivalent atoms, fractional coordinates:
Sm1 0.000 0.000 0.000 x2
Tl1 0.103 0.000 0.391 x4
P1 0.079 0.500 0.247 x4
Pd1 0.000 0.500 0.000 x2
Pd2 0.107 0.500 0.414 x4
Pd3 0.199 0.250 0.841 x8

Summary:
Formation energy = -0.4531 eV/atom
Total energy = -5.1715 eV/atom

[10]
VASP calculation (PBE) on a relaxed CrPdPt2Br crystal.

Unit cell a=4.978 b=4.978 c=4.506 alpha=90.00 beta=90.00 gamma=90.00
Space group P4/mmm (No. 123)
Inequivalent atoms, fractional coordinates:
Cr1 0.000 0.000 0.000 x1
Pd1 0.000 0.000 0.500 x1
Pt1 0.000 0.500 0.500 x2
Br1 0.500 0.500 0.000 x1

Summary:
Total energy = -4.2540 eV/atom
Formation energy (no corrections) = 1.4601 eV/atom

[11]
VASP calculation (PBE) on a relaxed Ac8Cu2Os crystal.

Unit cell a=19.976 b=4.213 c=9.788 alpha=90.00 beta=93.07 gamma=90.00
Space group C2/m (No. 12)
Inequivalent atoms, fractional coordinates:
Ac1 0.011 0.000 0.206 x4
Ac2 0.097 0.500 0.531 x4
Ac3 0.149 0.500 0.978 x4
Ac4 0.226 0.000 0.328 x4
Cu1 0.163 0.000 0.733 x4
Os1 0.000 0.500 0.000 x2

Summary:
Formation energy = -0.0345 eV/atom
Total energy = -4.7881 eV/atom

[12]
VASP calculation (PBE) on a relaxed ErMgScAg crystal.

Unit cell a=7.188 b=7.188 c=7.188 alpha=90.00 beta=90.00 gamma=90.00
Space group F-43m (No. 216)
Inequivalent atoms, fractional coordinates:
Er1 0.000 0.000 0.000 x4
Mg1 0.250 0.250 0.750 x4
Sc1 0.000 0.000 0.500 x4
Ag1 0.250 0.250 0.250 x4

Summary:
Energy above the lowest structure with this stoichiometry = 0.091 eV per formula unit
Formation energy = -0.1227 eV/atom
Total energy = -3.9578 eV/atom

[13]
VASP calculation (PBE) on a relaxed LiLa6Pr crystal.

Unit cell a=5.946 b=5.946 c=15.823 alpha=90.00 beta=90.00 gamma=90.00
Space group I4/mmm (No. 139)
Inequivalent atoms, fractional coordinates:
Li1 0.000 0.000 0.000 x2
La1 0.000 0.000 0.265 x4
La2 0.000 0.500 0.114 x8
Pr1 0.000 0.000 0.500 x2

Summary:
Formation energy = 0.0957 eV/atom
Total energy = -4.4365 eV/atom

[14]
VASP calculation (PBE) on a relaxed AcIn3Ge3 crystal.

Unit cell a=7.526 b=7.526 c=7.526 alpha=90.00 beta=90.00 gamma=90.00
Space group Pm-3n (No. 223)
Inequivalent atoms, fractional coordinates:
Ac1 0.000 0.000 0.000 x2
In1 0.000 0.250 0.500 x6
Ge1 0.000 0.500 0.250 x6

Summary:
Formation energy = 0.1282 eV/atom
Total energy = -3.6112 eV/atom

[15]
VASP calculation (PBE) on a relaxed LaSiOs2 crystal.

Unit cell a=4.317 b=4.317 c=3.777 alpha=90.00 beta=90.00 gamma=90.00
Space group P4/mmm (No. 123)
Inequivalent atoms, fractional coordinates:
La1 0.000 0.000 0.000 x1
Si1 0.500 0.500 0.000 x1
Os1 0.000 0.500 0.500 x2

Summary:
Total energy = -7.8288 eV/atom
Formation energy (no corrections) = 0.3737 eV/atom

[16]
VASP calculation (PBE) on a relaxed Tb6Al2O crystal.

Unit cell a=6.792 b=6.792 c=9.597 alpha=90.00 beta=90.00 gamma=90.00
Space group I4/mmm (No. 139)
Inequivalent atoms, fractional coordinates:
Tb1 0.000 0.000 0.247 x4
Tb2 0.248 0.248 0.000 x8
Al1 0.000 0.500 0.250 x4
O1 0.000 0.000 0.000 x2

Summary:
Total energy = -5.2558 eV/atom
Formation energy (no corrections) = -0.7864 eV/atom

[17]
VASP calculation (PBE) on a relaxed CdCuRh crystal.

Unit cell a=5.936 b=5.936 c=5.936 alpha=90.00 beta=90.00 gamma=90.00
Space group F-43m (No. 216)
Inequivalent atoms, fractional coordinates:
Cd1 0.000 0.000 0.000 x4
Cu1 0.250 0.250 0.250 x4
Rh1 0.000 0.000 0.500 x4

Summary:
Energy above the lowest structure with this stoichiometry = 0.637 eV per formula unit
Formation energy = 0.2305 eV/atom
Total energy = -3.8904 eV/atom

[18]
VASP calculation (PBE) on a relaxed CsMgN2 crystal.

Unit cell a=3.5641 b=3.5641 c=20.0383 alpha=90.00 beta=90.00 gamma=120.00
Space group R-3m (No. 166, hexagonal axes)
Inequivalent atoms, fractional coordinates:
Cs1 0.0000 0.0000 0.0000 x3
Mg1 0.0000 0.0000 0.5000 x3
N1 0.0000 0.0000 0.1206 x6

Summary:
Energy above the lowest structure with this stoichiometry = 1.219 eV per formula unit
Total energy = -3.7349 eV/atom
Formation energy (no corrections) = 1.0398 eV/atom

[19]
VASP calculation (PBE) on a relaxed Cs2SmSe2O6 crystal.

Unit cell a=10.589 b=6.293 c=7.940 alpha=90.00 beta=111.86 gamma=90.00
Space group C2/m (No. 12)
Inequivalent atoms, fractional coordinates:
Cs1 0.241 0.000 0.252 x4
Sm1 0.000 0.500 0.000 x2
Se1 0.083 0.000 0.724 x4
O1 0.045 0.228 0.827 x8
O2 0.237 0.500 0.156 x4

Summary:
Total energy = -5.4797 eV/atom
Formation energy (no corrections) = -1.5574 eV/atom

[20]
VASP calculation (PBE) on a relaxed RbHgTe2 crystal.

Unit cell a=9.107 b=11.758 c=6.479 alpha=90.00 beta=111.75 gamma=90.00
Space group C2/c (No. 15)
Inequivalent atoms, fractional coordinates:
Rb1 0.000 0.127 0.250 x4
Hg1 0.000 0.492 0.750 x4
Te1 0.220 0.359 0.101 x8

Summary:
Total energy = -2.3122 eV/atom
Formation energy (no corrections) = -0.4240 eV/atom

[21]
VASP calculation (PBE) on a relaxed LaTa2Pt crystal.

Unit cell a=4.110 b=4.110 c=9.958 alpha=90.00 beta=90.00 gamma=90.00
Space group I4/mmm (No. 139)
Inequivalent atoms, fractional coordinates:
La1 0.000 0.000 0.000 x2
Ta1 0.000 0.500 0.250 x4
Pt1 0.000 0.000 0.500 x2

Summary:
Energy above the lowest structure with this stoichiometry = 1.214 eV per formula unit
Formation energy = 0.1408 eV/atom
Total energy = -8.5276 eV/atom

[22]
VASP calculation (PBE) on a relaxed Pm2PuReN5 crystal.

Unit cell a=3.472 b=13.794 c=10.464 alpha=90.00 beta=90.00 gamma=90.00
Space group Cmc2_1 (No. 36)
Inequivalent atoms, fractional coordinates:
Pm1 0.000 0.110 0.000 x4
Pm2 0.000 0.144 0.619 x4
Pu1 0.000 0.207 0.325 x4
Re1 0.000 0.478 0.769 x4
N1 0.000 0.038 0.350 x4
N2 0.000 0.283 0.967 x4
N3 0.000 0.325 0.692 x4
N4 0.000 0.371 0.313 x4
N5 0.000 0.488 0.095 x4

Summary:
Total energy = -9.6183 eV/atom
Formation energy (no corrections) = -0.9618 eV/atom